(1)
# KNaTe2N PBE optimized geometry
data_KNaTe2N
_chemical_formula_sum 'K1 Na1 Te2 N1'
_cell_length_a 5.718
_cell_length_b 5.718
_cell_length_c 5.094
_cell_angle_alpha 90.00
_cell_angle_beta 90.00
_cell_angle_gamma 90.00
_space_group_name_H-M_alt 'P 4/m m m'
_space_group_IT_number 123
_space_group_name_Hall '-P 4 2'
loop_
_atom_site_label
_atom_site_type_symbol
_atom_site_fract_x
_atom_site_fract_y
_atom_site_fract_z
K1 K 0.000 0.000 0.000
Na1 Na 0.500 0.500 0.500
Te1 Te 0.000 0.500 0.500
N1 N 0.500 0.500 0.000
# * DFT total energy: -2.781 eV/atom
# * crystal system: tetragonal
# * raw formation energy: 0.62 eV/atom



(2)
# KNaTeN2 PBE optimized geometry
data_KNaTeN2
_chemical_formula_sum 'K1 Na1 Te1 N2'
_cell_length_a 5.048
_cell_length_b 5.048
_cell_length_c 5.952
_cell_angle_alpha 90.00
_cell_angle_beta 90.00
_cell_angle_gamma 90.00
_space_group_name_H-M_alt 'P 4/m m m'
_space_group_IT_number 123
_space_group_name_Hall '-P 4 2'
loop_
_atom_site_label
_atom_site_type_symbol
_atom_site_fract_x
_atom_site_fract_y
_atom_site_fract_z
K1 K 0.000 0.000 0.000
Na1 Na 0.500 0.500 0.500
Te1 Te 0.500 0.500 0.000
N1 N 0.000 0.500 0.500
# * DFT total energy: -3.083 eV/atom
# * crystal system: tetragonal
# * raw formation energy: 1.36 eV/atom



(3)
# KNaTeN2 PBE optimized geometry
data_KNaTeN2
_chemical_formula_sum 'K1 Na1 Te1 N2'
_cell_length_a 5.172
_cell_length_b 5.172
_cell_length_c 6.765
_cell_angle_alpha 90.00
_cell_angle_beta 90.00
_cell_angle_gamma 90.00
_space_group_name_H-M_alt 'P 4/m m m'
_space_group_IT_number 123
_space_group_name_Hall '-P 4 2'
loop_
_atom_site_label
_atom_site_type_symbol
_atom_site_fract_x
_atom_site_fract_y
_atom_site_fract_z
K1 K 0.000 0.000 0.000
Na1 Na 0.500 0.500 0.500
Te1 Te 0.000 0.000 0.500
N1 N 0.000 0.500 0.000
# * DFT total energy: -2.871 eV/atom
# * crystal system: tetragonal
# * raw formation energy: 1.57 eV/atom



(4)
# KNaTe2N PBE optimized geometry
data_KNaTe2N
_chemical_formula_sum 'K1 Na1 Te2 N1'
_cell_length_a 6.422
_cell_length_b 6.422
_cell_length_c 5.166
_cell_angle_alpha 90.00
_cell_angle_beta 90.00
_cell_angle_gamma 90.00
_space_group_name_H-M_alt 'P 4/m m m'
_space_group_IT_number 123
_space_group_name_Hall '-P 4 2'
loop_
_atom_site_label
_atom_site_type_symbol
_atom_site_fract_x
_atom_site_fract_y
_atom_site_fract_z
K1 K 0.000 0.000 0.000
Na1 Na 0.500 0.500 0.500
Te1 Te 0.000 0.500 0.000
N1 N 0.000 0.000 0.500
# * DFT total energy: -2.465 eV/atom
# * crystal system: tetragonal
# * raw formation energy: 0.94 eV/atom



(5)
# KNaTl2N PBE optimized geometry
data_KNaTl2N
_chemical_formula_sum 'K1 Na1 Tl2 N1'
_cell_length_a 5.141
_cell_length_b 5.141
_cell_length_c 5.424
_cell_angle_alpha 90.00
_cell_angle_beta 90.00
_cell_angle_gamma 90.00
_space_group_name_H-M_alt 'P 4/m m m'
_space_group_IT_number 123
_space_group_name_Hall '-P 4 2'
loop_
_atom_site_label
_atom_site_type_symbol
_atom_site_fract_x
_atom_site_fract_y
_atom_site_fract_z
K1 K 0.000 0.000 0.000
Na1 Na 0.500 0.500 0.000
Tl1 Tl 0.000 0.500 0.500
N1 N 0.000 0.000 0.500
# * DFT total energy: -2.622 eV/atom
# * crystal system: tetragonal
# * raw formation energy: 0.47 eV/atom



(6)
# KNaU4N8 PBE optimized geometry
data_KNaU4N8
_chemical_formula_sum 'K3 Na3 U12 N24'
_cell_length_a 7.0058
_cell_length_b 7.0058
_cell_length_c 19.0867
_cell_angle_alpha 90.00
_cell_angle_beta 90.00
_cell_angle_gamma 120.00
_space_group_name_H-M_alt 'R 3 m'
_space_group_IT_number 160
_space_group_name_Hall 'R 3 -2"'
loop_
_atom_site_label
_atom_site_type_symbol
_atom_site_fract_x
_atom_site_fract_y
_atom_site_fract_z
K1 K 0.0000 0.0000 0.0000
Na1 Na 0.0000 0.0000 0.6558
U1 U 0.0000 0.0000 0.4884
U2 U 0.1677 0.3355 0.8339
N1 N 0.0000 0.0000 0.2138
N2 N 0.0000 0.0000 0.7841
N3 N 0.0093 0.5047 0.2136
N4 N 0.0113 0.5056 0.7820
# * DFT total energy: -9.230 eV/atom
# * crystal system: trigonal
# * raw formation energy: -1.07 eV/atom



(7)
# KNaUN3 PBE optimized geometry
data_KNaUN3
_chemical_formula_sum 'K4 Na4 U4 N12'
_cell_length_a 6.081
_cell_length_b 12.349
_cell_length_c 5.924
_cell_angle_alpha 90.00
_cell_angle_beta 97.95
_cell_angle_gamma 90.00
_space_group_name_H-M_alt 'C 1 2/c 1'
_space_group_IT_number 15
loop_
_space_group_symop_operation_xyz
'x,y,z'
'-x,-y,-z'
'-x,y,-z+1/2'
'x,-y,z+1/2'
'x+1/2,y+1/2,z'
'-x+1/2,-y+1/2,-z'
'-x+1/2,y+1/2,-z+1/2'
'x+1/2,-y+1/2,z+1/2'
loop_
_atom_site_label
_atom_site_type_symbol
_atom_site_fract_x
_atom_site_fract_y
_atom_site_fract_z
K1 K 0.000 0.244 0.250
Na1 Na 0.000 0.075 0.750
U1 U 0.000 0.432 0.750
N1 N 0.000 0.275 0.750
N2 N 0.204 0.456 0.516
# * DFT total energy: -6.951 eV/atom
# * crystal system: monoclinic
# * raw formation energy: -0.50 eV/atom



(8)
# KNa2ZrN PBE optimized geometry
data_KNa2ZrN
_chemical_formula_sum 'K1 Na2 Zr1 N1'
_cell_length_a 5.657
_cell_length_b 5.657
_cell_length_c 4.252
_cell_angle_alpha 90.00
_cell_angle_beta 90.00
_cell_angle_gamma 90.00
_space_group_name_H-M_alt 'P 4/m m m'
_space_group_IT_number 123
_space_group_name_Hall '-P 4 2'
loop_
_atom_site_label
_atom_site_type_symbol
_atom_site_fract_x
_atom_site_fract_y
_atom_site_fract_z
K1 K 0.000 0.000 0.000
Na1 Na 0.000 0.500 0.500
Zr1 Zr 0.500 0.500 0.000
N1 N 0.500 0.500 0.500
# * DFT total energy: -4.008 eV/atom
# * crystal system: tetragonal
# * raw formation energy: 0.11 eV/atom



(9)
# KNbN2 PBE optimized geometry
data_KNbN2
_chemical_formula_sum 'K2 Nb2 N4'
_cell_length_a 6.028
_cell_length_b 3.563
_cell_length_c 6.462
_cell_angle_alpha 90.00
_cell_angle_beta 90.00
_cell_angle_gamma 90.00
_space_group_name_H-M_alt 'P m m a'
_space_group_IT_number 51
loop_
_space_group_symop_operation_xyz
'x,y,z'
'-x,-y,-z'
'-x+1/2,-y,z'
'x+1/2,y,-z'
'x+1/2,-y,-z'
'-x+1/2,y,z'
'-x,y,-z'
'x,-y,z'
loop_
_atom_site_label
_atom_site_type_symbol
_atom_site_fract_x
_atom_site_fract_y
_atom_site_fract_z
K1 K 0.250 0.000 0.023
Nb1 Nb 0.250 0.500 0.523
N1 N 0.000 0.500 0.286
# * DFT total energy: -6.967 eV/atom
# * crystal system: orthorhombic
# * raw formation energy: -0.01 eV/atom



(10)
# KNbN2 PBE optimized geometry
data_KNbN2
_chemical_formula_sum 'K3 Nb3 N6'
_cell_length_a 3.1835
_cell_length_b 3.1835
_cell_length_c 19.4729
_cell_angle_alpha 90.00
_cell_angle_beta 90.00
_cell_angle_gamma 120.00
_space_group_name_H-M_alt 'R 3 m'
_space_group_IT_number 160
_space_group_name_Hall 'R 3 -2"'
loop_
_atom_site_label
_atom_site_type_symbol
_atom_site_fract_x
_atom_site_fract_y
_atom_site_fract_z
K1 K 0.0000 0.0000 0.0000
Nb1 Nb 0.0000 0.0000 0.8293
N1 N 0.0000 0.0000 0.2189
N2 N 0.0000 0.0000 0.4386
# * DFT total energy: -7.539 eV/atom
# * crystal system: trigonal
# * raw formation energy: -0.58 eV/atom



(11)
# KNbN2 PBE optimized geometry
data_KNbN2
_chemical_formula_sum 'K4 Nb4 N8'
_cell_length_a 11.389
_cell_length_b 3.547
_cell_length_c 6.378
_cell_angle_alpha 90.00
_cell_angle_beta 101.17
_cell_angle_gamma 90.00
_space_group_name_H-M_alt 'C 1 2/m 1'
_space_group_IT_number 12
loop_
_space_group_symop_operation_xyz
'x,y,z'
'-x,-y,-z'
'-x,y,-z'
'x,-y,z'
'x+1/2,y+1/2,z'
'-x+1/2,-y+1/2,-z'
'-x+1/2,y+1/2,-z'
'x+1/2,-y+1/2,z'
loop_
_atom_site_label
_atom_site_type_symbol
_atom_site_fract_x
_atom_site_fract_y
_atom_site_fract_z
K1 K 0.127 0.000 0.036
Nb1 Nb 0.131 0.500 0.536
N1 N 0.000 0.500 0.289
N2 N 0.210 0.000 0.648
# * DFT total energy: -7.639 eV/atom
# * crystal system: monoclinic
# * raw formation energy: -0.68 eV/atom



(12)
# KNbN2 PBE optimized geometry
data_KNbN2
_chemical_formula_sum 'K16 Nb16 N32'
_cell_length_a 5.973
_cell_length_b 11.952
_cell_length_c 16.826
_cell_angle_alpha 90.00
_cell_angle_beta 90.00
_cell_angle_gamma 90.00
_space_group_name_H-M_alt 'P b c a'
_space_group_IT_number 61
loop_
_space_group_symop_operation_xyz
'x,y,z'
'-x,-y,-z'
'-x+1/2,-y,z+1/2'
'x+1/2,y,-z+1/2'
'x+1/2,-y+1/2,-z'
'-x+1/2,y+1/2,z'
'-x,y+1/2,-z+1/2'
'x,-y+1/2,z+1/2'
loop_
_atom_site_label
_atom_site_type_symbol
_atom_site_fract_x
_atom_site_fract_y
_atom_site_fract_z
K1 K 0.223 0.237 0.184
K2 K 0.236 0.001 0.560
Nb1 Nb 0.233 0.011 0.810
Nb2 Nb 0.239 0.234 0.435
N1 N 0.039 0.702 0.008
N2 N 0.049 0.516 0.216
N3 N 0.144 0.592 0.395
N4 N 0.185 0.166 0.845
# * DFT total energy: -7.729 eV/atom
# * crystal system: orthorhombic
# * raw formation energy: -0.77 eV/atom